# 1
## RbAuC2 (GGA-PBE)

Data for a relaxed RbAuC2 crystal.

a = 4.4899 Å, b = 4.4899 Å, c = 4.4899 Å
α = 60.00°, β = 60.00°, γ = 60.00°
Sites, in units of the cell vectors:
Au (0.5000, 0.5000, 0.5000)
C (0.7500, 0.7500, 0.7500)
C (0.2500, 0.2500, 0.2500)
Rb (0.0000, 0.0000, 0.0000)

Computed properties:
Energy above the most stable polymorph in this dataset: 2545 meV/atom
Energy of formation from the pure elements: 2.7242 eV/atom
D(E_F): 1.7 states/eV/f.u.
SG: Fm-3m

=====

# 2
## Cu2SiPd (GGA-PBE)

Data for a relaxed Cu2SiPd crystal.

a = 4.5554 Å, b = 4.5562 Å, c = 3.7301 Å
α = 114.20°, β = 114.19°, γ = 109.20°
Sites, in units of the cell vectors:
Cu (0.2500, 0.7500, 0.5001)
Si (0.7500, 0.2500, 0.5000)
Cu (0.0000, 0.0000, 0.0000)
Pd (0.5000, 0.5000, 0.0000)

Computed properties:
Energy relative to the elements, uncorrected: -214 meV per atom
D(E_F): 1.9 states/eV/f.u.
SG: I-4m2

=====

# 3
## Ca2AcRuO6 (GGA-PBE)

Data for a relaxed Ca2AcRuO6 crystal.

a = 5.6682 Å, b = 6.1230 Å, c = 8.3396 Å
α = 90.00°, β = 89.40°, γ = 90.00°
Sites, in units of the cell vectors:
O (0.6222, 0.0926, 0.2834)
O (0.1586, 0.2345, 0.0955)
O (0.3778, 0.9074, 0.7166)
O (0.6586, 0.2655, 0.5955)
Ru (0.5000, 0.0000, 0.5000)
O (0.3414, 0.7345, 0.4045)
O (0.1222, 0.4074, 0.7834)
Ca (0.5074, 0.5427, 0.7752)
Ru (0.0000, 0.5000, 0.0000)
O (0.7959, 0.8389, 0.5339)
Ac (0.5000, 0.0000, 0.0000)
O (0.8414, 0.7655, 0.9045)
Ca (0.4926, 0.4573, 0.2248)
O (0.2959, 0.6611, 0.0339)
O (0.2041, 0.1611, 0.4661)
O (0.7041, 0.3389, 0.9661)
Ca (0.9926, 0.0427, 0.7248)
Ca (0.0074, 0.9573, 0.2752)
O (0.8778, 0.5926, 0.2166)
Ac (0.0000, 0.5000, 0.5000)

Computed properties:
Energy relative to the elements, uncorrected: -2327 meV per atom
SG: P2_1/c

=====

# 4
## TlFeW (GGA-PBE)

Data for a relaxed TlFeW crystal.

a = 4.4639 Å, b = 4.4639 Å, c = 2.9379 Å
α = 90.00°, β = 90.00°, γ = 120.00°
Sites, in units of the cell vectors:
W (0.3333, 0.6667, 0.7456)
Fe (0.0000, 0.0000, 0.9782)
Tl (0.6667, 0.3333, 0.2762)

Computed properties:
Energy above the most stable polymorph in this dataset: 262 meV/atom
Energy of formation from the pure elements: 0.8779 eV/atom
D(E_F): 2.8 states/eV/f.u.
SG: P3m1

=====

# 5
## Sm2Ag3Hg4 (GGA-PBE)

Data for a relaxed Sm2Ag3Hg4 crystal.

a = 4.9553 Å, b = 5.0802 Å, c = 9.3914 Å
α = 85.45°, β = 89.83°, γ = 60.84°
Sites, in units of the cell vectors:
Hg (0.6623, 0.6760, 0.8987)
Ag (0.6547, 0.6933, 0.5731)
Ag (0.0000, 0.0000, 0.0000)
Sm (0.3238, 0.3541, 0.7680)
Hg (0.3377, 0.3240, 0.1013)
Sm (0.6762, 0.6459, 0.2320)
Hg (0.9816, 0.0395, 0.6512)
Ag (0.3453, 0.3067, 0.4269)
Hg (0.0184, 0.9605, 0.3488)

Computed properties:
Energy above the most stable polymorph in this dataset: 0 meV/atom
Energy of formation from the pure elements: -0.2813 eV/atom
D(E_F): 4.7 states/eV/f.u.
SG: P-1

=====

# 6
## CoSn2BiPb (GGA-PBE)

Data for a relaxed CoSn2BiPb crystal.

a = 5.0085 Å, b = 5.0085 Å, c = 5.1855 Å
α = 90.00°, β = 90.00°, γ = 90.00°
Sites, in units of the cell vectors:
Sn (0.5000, 0.0000, 0.0000)
Sn (0.0000, 0.5000, 0.0000)
Co (0.0000, 0.0000, 0.0000)
Bi (0.5000, 0.5000, 0.5000)
Pb (0.0000, 0.0000, 0.5000)

Computed properties:
Energy above the most stable polymorph in this dataset: 0 meV/atom
Energy of formation from the pure elements: 0.0881 eV/atom
D(E_F): 1.6 states/eV/f.u.
SG: P4/mmm

=====

# 7
## LiAsPb2 (GGA-PBE)

Data for a relaxed LiAsPb2 crystal.

a = 5.6395 Å, b = 6.3186 Å, c = 3.3735 Å
α = 74.61°, β = 89.80°, γ = 116.44°
Sites, in units of the cell vectors:
Pb (0.0000, 0.0000, 0.0000)
Pb (0.5000, 0.0000, 0.5000)
As (0.0000, 0.5000, 0.5000)
Li (0.5000, 0.5000, 0.0000)

Computed properties:
Energy of formation from the pure elements: -0.0198 eV/atom
D(E_F): 1.7 states/eV/f.u.
SG: C2/m

=====

# 8
## TiAs2SeF (GGA-PBE)

Data for a relaxed TiAs2SeF crystal.

a = 4.8606 Å, b = 4.8606 Å, c = 4.7642 Å
α = 90.00°, β = 90.00°, γ = 90.00°
Sites, in units of the cell vectors:
Ti (0.0000, 0.0000, 0.0000)
F (0.5000, 0.5000, 0.5000)
As (0.5000, 0.0000, 0.0000)
Se (0.0000, 0.0000, 0.5000)
As (0.0000, 0.5000, 0.0000)

Computed properties:
Energy above the most stable polymorph in this dataset: 0 meV/atom
Energy relative to the elements, uncorrected: -231 meV per atom
D(E_F): 4.1 states/eV/f.u.
SG: P4/mmm

=====

# 9
## CaSbAs2 (GGA-PBE)

Data for a relaxed CaSbAs2 crystal.

a = 10.0456 Å, b = 10.0456 Å, c = 10.0456 Å
α = 19.33°, β = 19.33°, γ = 19.33°
Sites, in units of the cell vectors:
As (0.9957, 0.9957, 0.9957)
Ca (0.2500, 0.2500, 0.2500)
Sb (0.7500, 0.7500, 0.7500)
As (0.5043, 0.5043, 0.5043)

Computed properties:
Energy relative to the elements, uncorrected: 58 meV per atom
D(E_F): 2.4 states/eV/f.u.
SG: R-3m

=====

# 10
## LiTlF (GGA-PBE)

Data for a relaxed LiTlF crystal.

a = 3.2307 Å, b = 3.2307 Å, c = 7.2722 Å
α = 90.00°, β = 90.00°, γ = 120.00°
Sites, in units of the cell vectors:
Tl (0.3333, 0.6667, 0.0000)
Li (0.0000, 0.0000, 0.5000)
F (0.3333, 0.6667, 0.5000)

Computed properties:
Energy above the most stable polymorph in this dataset: 15 meV/atom
Energy relative to the elements, uncorrected: -1754 meV per atom
D(E_F): 0.7 states/eV/f.u.
SG: P-6m2

=====

# 11
## CeHfPdRh (GGA-PBE)

Data for a relaxed CeHfPdRh crystal.

a = 4.8278 Å, b = 4.8278 Å, c = 4.8278 Å
α = 60.00°, β = 60.00°, γ = 60.00°
Sites, in units of the cell vectors:
Ce (0.7500, 0.7500, 0.7500)
Hf (0.2500, 0.2500, 0.2500)
Rh (0.0000, 0.0000, 0.0000)
Pd (0.5000, 0.5000, 0.5000)

Computed properties:
Energy of formation from the pure elements: -0.5760 eV/atom
D(E_F): 7.7 states/eV/f.u.
SG: F-43m

=====

# 12
## ReOsPt4 (GGA-PBE)

Data for a relaxed ReOsPt4 crystal.

a = 5.1531 Å, b = 5.1531 Å, c = 5.1531 Å
α = 60.00°, β = 60.00°, γ = 60.00°
Sites, in units of the cell vectors:
Re (0.2500, 0.2500, 0.2500)
Os (0.0000, 0.0000, 0.0000)
Pt (0.6249, 0.6249, 0.6249)
Pt (0.6249, 0.6249, 0.1252)
Pt (0.6249, 0.1252, 0.6249)
Pt (0.1252, 0.6249, 0.6249)

Computed properties:
Energy of formation from the pure elements: 0.6789 eV/atom
D(E_F): 6.0 states/eV/f.u.
SG: F-43m

=====

Repeat the second record exactly.
## Cu2SiPd (GGA-PBE)

Data for a relaxed Cu2SiPd crystal.

a = 4.5554 Å, b = 4.5562 Å, c = 3.7301 Å
α = 114.20°, β = 114.19°, γ = 109.20°
Sites, in units of the cell vectors:
Cu (0.2500, 0.7500, 0.5001)
Si (0.7500, 0.2500, 0.5000)
Cu (0.0000, 0.0000, 0.0000)
Pd (0.5000, 0.5000, 0.0000)

Computed properties:
Energy relative to the elements, uncorrected: -214 meV per atom
D(E_F): 1.9 states/eV/f.u.
SG: I-4m2

=====

Q: Number 10 is which compound?
A: LiTlF